Entry 1:
{
  "formula": "K3ZrCu",
  "functional": "PBE",
  "state": "optimized geometry",
  "magmom_total_mub_per_fu": 4.0,
  "density_g_cm3": 1.87,
  "crystal_system": "cubic",
  "n_ef_per_ev_fu": 10.61,
  "energy_ev_per_cell": -10.60,
  "lattice_angstrom": [[6.224, 0.000, 0.000], [0.000, 6.224, 0.000], [0.000, 0.000, 6.224]],
  "species": ["Zr", "K", "K", "Cu", "K"],
  "fractional_positions": [[0.500, 0.500, 0.500], [0.500, 0.000, 0.000], [0.000, 0.000, 0.500], [0.000, 0.000, 0.000], [0.000, 0.500, 0.000]]
}

---

Entry 2:
{
  "formula": "KZrCu2",
  "functional": "PBE",
  "state": "optimized geometry",
  "magmom_total_mub_per_fu": 0.0,
  "density_g_cm3": 4.78,
  "crystal_system": "tetragonal",
  "n_ef_per_ev_fu": 3.24,
  "energy_ev_per_cell": -16.39,
  "lattice_angstrom": [[-3.096, 0.571, 0.534], [-0.561, -0.111, -3.141], [-1.493, -8.628, 0.570]],
  "species": ["Cu", "Cu", "K", "Zr"],
  "fractional_positions": [[0.500, 0.500, 0.162], [0.000, 0.000, 0.041], [0.000, 0.000, 0.451], [0.500, 0.500, 0.846]]
}

---

Entry 3:
{
  "formula": "KZrCu2",
  "functional": "PBE",
  "state": "optimized geometry",
  "magmom_total_mub_per_fu": 0.0,
  "density_g_cm3": 4.24,
  "crystal_system": "monoclinic",
  "n_ef_per_ev_fu": 3.37,
  "energy_ev_per_cell": -16.14,
  "lattice_angstrom": [[-2.889, 3.703, 0.384], [-3.509, 1.674, 2.663], [4.130, 3.943, 4.635]],
  "species": ["K", "Cu", "Zr", "Cu"],
  "fractional_positions": [[0.750, 0.750, 0.750], [0.987, 0.987, 0.110], [0.250, 0.250, 0.250], [0.513, 0.513, 0.390]]
}

---

Entry 4:
{
  "formula": "KZrCu2",
  "functional": "PBE",
  "state": "optimized geometry",
  "magmom_total_mub_per_fu": 1.5,
  "density_g_cm3": 5.12,
  "crystal_system": "tetragonal",
  "n_ef_per_ev_fu": 3.94,
  "energy_ev_per_cell": -14.61,
  "lattice_angstrom": [[5.790, 0.305, 0.000], [2.669, 5.148, 0.000], [-4.229, -2.726, 2.881]],
  "species": ["Cu", "Cu", "Zr", "K"],
  "fractional_positions": [[0.250, 0.750, 0.500], [0.000, 0.000, 0.000], [0.750, 0.250, 0.500], [0.500, 0.500, 0.000]]
}

---

Entry 5:
{
  "formula": "KZrCu2",
  "functional": "PBE",
  "state": "optimized geometry",
  "magmom_total_mub_per_fu": 0.0,
  "density_g_cm3": 5.20,
  "crystal_system": "cubic",
  "n_ef_per_ev_fu": 3.61,
  "energy_ev_per_cell": -15.10,
  "lattice_angstrom": [[0.353, -4.843, 0.505], [-2.367, -2.954, -3.082], [2.500, -2.620, -3.274]],
  "species": ["Cu", "K", "Zr", "Cu"],
  "fractional_positions": [[0.250, 0.250, 0.250], [0.000, 0.000, 0.000], [0.500, 0.500, 0.500], [0.750, 0.750, 0.750]]
}

---

Entry 6:
{
  "formula": "KZrCu2",
  "functional": "PBE",
  "state": "optimized geometry",
  "magmom_total_mub_per_fu": 0.0,
  "density_g_cm3": 4.43,
  "crystal_system": "trigonal",
  "n_ef_per_ev_fu": 4.42,
  "energy_ev_per_cell": -16.05,
  "lattice_angstrom": [[8.949, -0.112, -0.066], [8.278, 3.402, -0.066], [8.278, 1.581, 3.013]],
  "species": ["Cu", "K", "Cu", "Zr"],
  "fractional_positions": [[0.482, 0.482, 0.482], [0.250, 0.250, 0.250], [0.018, 0.018, 0.018], [0.750, 0.750, 0.750]]
}

---

Entry 7:
{
  "formula": "K3ZrCu",
  "functional": "PBE",
  "state": "optimized geometry",
  "magmom_total_mub_per_fu": 4.0,
  "density_g_cm3": 1.46,
  "crystal_system": "cubic",
  "n_ef_per_ev_fu": 3.01,
  "energy_ev_per_cell": -9.05,
  "lattice_angstrom": [[-0.245, -6.585, -1.531], [4.608, 0.959, -4.859], [4.946, -1.219, 4.451]],
  "species": ["Cu", "Zr", "K", "K", "K"],
  "fractional_positions": [[0.500, 0.500, 0.500], [0.000, 0.000, 0.000], [0.000, 0.500, 0.000], [0.500, 0.000, 0.000], [0.000, 0.000, 0.500]]
}

---

Entry 8:
{
  "formula": "KZrCu2",
  "functional": "PBE",
  "state": "optimized geometry",
  "magmom_total_mub_per_fu": 0.0,
  "density_g_cm3": 4.25,
  "crystal_system": "tetragonal",
  "n_ef_per_ev_fu": 5.96,
  "energy_ev_per_cell": -29.08,
  "lattice_angstrom": [[7.587, 0.000, 0.000], [0.000, 7.587, 0.000], [3.793, 3.793, 3.491]],
  "species": ["Cu", "Cu", "K", "Cu", "Cu", "Zr", "K", "Zr"],
  "fractional_positions": [[0.375, 0.329, 0.750], [0.079, 0.625, 0.250], [0.500, 0.500, 0.000], [0.671, 0.125, 0.250], [0.875, 0.921, 0.750], [0.000, 0.000, 0.000], [0.250, 0.750, 0.500], [0.750, 0.250, 0.500]]
}

---

Entry 9:
{
  "formula": "KZrCu2",
  "functional": "PBE",
  "state": "optimized geometry",
  "magmom_total_mub_per_fu": 0.0,
  "density_g_cm3": 5.28,
  "crystal_system": "monoclinic",
  "n_ef_per_ev_fu": 3.18,
  "energy_ev_per_cell": -15.93,
  "lattice_angstrom": [[-0.432, 5.609, 1.120], [-2.957, 4.915, 0.102], [-2.069, 0.260, 4.955]],
  "species": ["Cu", "Zr", "K", "Cu"],
  "fractional_positions": [[0.710, 0.710, 0.746], [0.280, 0.280, 0.171], [0.478, 0.478, 0.556], [0.032, 0.032, 0.028]]
}

---

Entry 10:
{
  "formula": "LaCu3",
  "functional": "PBE",
  "state": "optimized geometry",
  "magmom_total_mub_per_fu": 0.0,
  "density_g_cm3": 7.80,
  "crystal_system": "hexagonal",
  "n_ef_per_ev_fu": 3.74,
  "energy_ev_per_cell": -15.75,
  "lattice_angstrom": [[3.026, 0.000, 0.000], [-1.513, 2.621, 0.000], [0.000, 0.000, 8.843]],
  "species": ["Cu", "Cu", "La", "Cu"],
  "fractional_positions": [[0.333, 0.667, 0.250], [0.000, 0.000, 0.045], [0.333, 0.667, 0.750], [0.000, 0.000, 0.455]]
}

---

Entry 11:
{
  "formula": "La7Cu3",
  "functional": "PBE",
  "state": "optimized geometry",
  "magmom_total_mub_per_fu": 0.0,
  "density_g_cm3": 6.42,
  "crystal_system": "hexagonal",
  "n_ef_per_ev_fu": 10.60,
  "energy_ev_per_cell": -95.55,
  "lattice_angstrom": [[6.486, 0.000, 0.000], [0.000, 8.964, -5.175], [0.000, 0.000, 10.350]],
  "species": ["La", "La", "Cu", "La", "La", "Cu", "La", "La", "La", "La", "Cu", "La", "Cu", "Cu", "Cu", "La", "La", "La", "La", "La"],
  "fractional_positions": [[0.632, 0.538, 0.462], [0.632, 0.538, 0.077], [0.364, 0.378, 0.189], [0.120, 0.667, 0.333], [0.632, 0.923, 0.462], [0.364, 0.811, 0.189], [0.933, 0.873, 0.127], [0.933, 0.873, 0.747], [0.433, 0.127, 0.253], [0.433, 0.747, 0.873], [0.864, 0.189, 0.378], [0.132, 0.462, 0.538], [0.864, 0.189, 0.811], [0.864, 0.622, 0.811], [0.364, 0.811, 0.622], [0.933, 0.253, 0.127], [0.132, 0.462, 0.923], [0.433, 0.127, 0.873], [0.620, 0.333, 0.667], [0.132, 0.077, 0.538]]
}

---

Entry 12:
{
  "formula": "LaCu",
  "functional": "PBE",
  "state": "optimized geometry",
  "magmom_total_mub_per_fu": 0.0,
  "density_g_cm3": 6.14,
  "crystal_system": "trigonal",
  "n_ef_per_ev_fu": 2.17,
  "energy_ev_per_cell": -8.95,
  "lattice_angstrom": [[-4.283, 0.424, 1.387], [-1.978, -2.198, 3.421], [-1.427, 1.775, 3.906]],
  "species": ["La", "Cu"],
  "fractional_positions": [[0.500, 0.500, 0.500], [0.000, 0.000, 0.000]]
}